Below is an optimized crystal structure of SiTeWN2, with properties calculated at the PBE level.

**Energy**: -6.1951 eV per atom
**ΔE to the lowest computed polymorph**: 786 meV per atom
**Energy relative to the elements, uncorrected**: 1.4386 eV/atom

```
data_SiTeWN2
_space_group_name_H-M_alt 'P 4/m m m'
_space_group_IT_number 123
_space_group_name_Hall '-P 4 2'
_cell_length_a 3.626
_cell_length_b 3.626
_cell_length_c 7.181
_cell_angle_alpha 90.00
_cell_angle_beta 90.00
_cell_angle_gamma 90.00
loop_
_atom_site_label
_atom_site_type_symbol
_atom_site_fract_x
_atom_site_fract_y
_atom_site_fract_z
Si1 Si 0.000 0.000 0.000
Te1 Te 0.000 0.000 0.500
W1 W 0.500 0.500 0.500
N1 N 0.000 0.500 0.000
```

=====

Below is an optimized crystal structure of ZnSiTe2N, with properties calculated at the PBE level.

**Energy**: -4.0223 eV per atom
**ΔE to the lowest computed polymorph**: 0 meV per atom
**Energy relative to the elements, uncorrected**: 0.2388 eV/atom

```
data_ZnSiTe2N
_space_group_name_H-M_alt 'P 4/m m m'
_space_group_IT_number 123
_space_group_name_Hall '-P 4 2'
_cell_length_a 5.711
_cell_length_b 5.711
_cell_length_c 3.254
_cell_angle_alpha 90.00
_cell_angle_beta 90.00
_cell_angle_gamma 90.00
loop_
_atom_site_label
_atom_site_type_symbol
_atom_site_fract_x
_atom_site_fract_y
_atom_site_fract_z
Zn1 Zn 0.000 0.000 0.000
Si1 Si 0.500 0.500 0.500
Te1 Te 0.000 0.500 0.500
N1 N 0.500 0.500 0.000
```

=====

Below is an optimized crystal structure of ZnSiTe2N, with properties calculated at the PBE level.

**Energy**: -3.2907 eV per atom
**ΔE to the lowest computed polymorph**: 732 meV per atom
**Energy relative to the elements, uncorrected**: 0.9705 eV/atom

```
data_ZnSiTe2N
_space_group_name_H-M_alt 'P 4/m m m'
_space_group_IT_number 123
_space_group_name_Hall '-P 4 2'
_cell_length_a 5.587
_cell_length_b 5.587
_cell_length_c 3.626
_cell_angle_alpha 90.00
_cell_angle_beta 90.00
_cell_angle_gamma 90.00
loop_
_atom_site_label
_atom_site_type_symbol
_atom_site_fract_x
_atom_site_fract_y
_atom_site_fract_z
Zn1 Zn 0.000 0.000 0.000
Si1 Si 0.500 0.500 0.500
Te1 Te 0.000 0.500 0.000
N1 N 0.000 0.000 0.500
```